DFT (PBE-GGA) results for a relaxed structure of SrPt2W.

DFT formation energy: 48.5 kJ per mole of atoms
Relative energy among the computed polymorphs: 0.703 eV/atom
Space-group type: F-43m (216)
Size of the total moment: 0.0 Bohr magnetons per cell

a b c (Å): 4.7059 4.7059 4.7059
angles (deg): 60.00 60.00 60.00
Positions (direct):
Sr (0.0000, 0.0000, 0.0000)
Pt (0.5000, 0.5000, 0.5000)
Pt (0.7500, 0.7500, 0.7500)
W (0.2500, 0.2500, 0.2500)